No. 1
# Zr3Sc2Ge4 (GGA-PBE, relaxed)
# - DOS at the Fermi energy (states/eV per atom) = 0.74
# - spin magnetization (μB per formula unit) = 0.0
data_Zr3Sc2Ge4
_chemical_formula_sum 'Zr6 Sc4 Ge8'
_symmetry_space_group_name_H-M 'P 1 21/c 1'
_symmetry_Int_Tables_number 14
_symmetry_space_group_name_Hall '-P 2ybc'
_cell_length_a 7.339
_cell_length_b 7.347
_cell_length_c 7.062
_cell_angle_alpha 90.00
_cell_angle_beta 109.88
_cell_angle_gamma 90.00
loop_
_atom_site_label
_atom_site_type_symbol
_atom_site_fract_x
_atom_site_fract_y
_atom_site_fract_z
Zr1 Zr 0.000 0.000 0.000
Zr2 Zr 0.250 0.179 0.755
Sc1 Sc 0.312 0.674 0.938
Ge1 Ge 0.023 0.635 0.137
Ge2 Ge 0.419 0.028 0.155

No. 2
# CdSnH2 (GGA-PBE, relaxed)
# - energy above the most stable polymorph in this dataset (meV per atom) = 230
# - DOS at the Fermi energy (states/eV per atom) = 0.21
# - spin magnetization (μB per formula unit) = 0.0
data_CdSnH2
_chemical_formula_sum 'Cd2 Sn2 H4'
_symmetry_space_group_name_H-M 'I m m 2'
_symmetry_Int_Tables_number 44
_symmetry_space_group_name_Hall 'I 2 -2'
_cell_length_a 2.960
_cell_length_b 3.976
_cell_length_c 11.961
_cell_angle_alpha 90.00
_cell_angle_beta 90.00
_cell_angle_gamma 90.00
loop_
_atom_site_label
_atom_site_type_symbol
_atom_site_fract_x
_atom_site_fract_y
_atom_site_fract_z
Cd1 Cd 0.000 0.000 0.000
Sn1 Sn 0.000 0.500 0.746
H1 H 0.000 0.000 0.751
H2 H 0.000 0.500 0.906

No. 3
# Ce3In4Cu2 (GGA-PBE, relaxed)
# - DOS at the Fermi energy (states/eV per atom) = 2.00
# - spin magnetization (μB per formula unit) = 3.6
data_Ce3In4Cu2
_chemical_formula_sum 'Ce6 In8 Cu4'
_symmetry_space_group_name_H-M 'C 1 2/m 1'
_symmetry_Int_Tables_number 12
_symmetry_space_group_name_Hall '-C 2y'
_cell_length_a 11.141
_cell_length_b 4.811
_cell_length_c 9.116
_cell_angle_alpha 90.00
_cell_angle_beta 115.75
_cell_angle_gamma 90.00
loop_
_atom_site_label
_atom_site_type_symbol
_atom_site_fract_x
_atom_site_fract_y
_atom_site_fract_z
Ce1 Ce 0.000 0.000 0.000
Ce2 Ce 0.174 0.500 0.650
In1 In 0.035 0.000 0.363
In2 In 0.226 0.500 0.075
Cu1 Cu 0.094 0.500 0.266

| no. | calculated total energy (eV per atom) |
| --- | --- |
| 1 | -7.14 |
| 2 | -2.58 |
| 3 | -4.40 |